Entry 1:
DFT (PBE-GGA) results for a geometry-optimized NbClF4 structure.

Values from the calculation:
* ρ: 2.96 Mg/m³
* ΔE to the lowest computed polymorph: 0.0 meV/atom
* E_form (uncorrected): -2.586 eV per atom
* DOS(E_F): 0.00 states/eV per cell

Structure (POSCAR):
```
NbClF4
1.0
-2.976 4.097 -2.304
-4.026 -4.148 -2.175
0.969 -0.884 8.662
F Cl Nb
8 2 2
Direct
0.102 0.658 0.316
0.541 0.829 0.198
0.541 0.368 0.198
0.898 0.342 0.684
0.459 0.171 0.802
0.459 0.632 0.802
0.000 0.308 0.000
0.000 0.692 0.000
0.265 0.214 0.428
0.735 0.786 0.572
0.355 0.616 0.232
0.645 0.384 0.768
```

=====

Entry 2:
DFT (PBE-GGA) results for a geometry-optimized KTl2P2S6 structure.

Values from the calculation:
* ρ: 3.27 Mg/m³
* E_form (uncorrected): -0.380 eV per atom
* DOS(E_F): 3.76 states/eV per cell

Structure (POSCAR):
```
KTl2P2S6
1.0
6.887 0.000 0.000
3.444 5.965 0.000
3.444 1.988 8.672
S Tl K P
6 2 1 2
Direct
0.266 0.763 0.704
0.266 0.266 0.704
0.763 0.266 0.704
0.237 0.734 0.296
0.734 0.734 0.296
0.734 0.237 0.296
0.789 0.789 0.633
0.211 0.211 0.367
0.000 0.000 0.000
0.577 0.577 0.270
0.423 0.423 0.730
```

=====

Entry 3:
DFT (PBE-GGA) results for a geometry-optimized GaCoH structure.

Values from the calculation:
* ρ: 7.70 Mg/m³
* ΔE to the lowest computed polymorph: 0.0 meV/atom
* DOS(E_F): 1.60 states/eV per cell

Structure (POSCAR):
```
GaCoH
1.0
2.928 0.000 0.000
-1.464 2.536 0.000
0.000 0.000 3.768
Ga H Co
1 1 1
Direct
0.000 0.000 0.999
0.333 0.667 0.501
0.667 0.333 0.499
```

=====

Entry 4:
DFT (PBE-GGA) results for a geometry-optimized CsHoMn2S4 structure.

Values from the calculation:
* ρ: 3.50 Mg/m³
* E_form (uncorrected): -0.731 eV per atom

Structure (POSCAR):
```
CsHoMn2S4
1.0
6.611 0.000 0.000
3.306 6.217 0.017
3.306 0.526 6.195
S Ho Mn Cs
4 1 2 1
Direct
0.079 0.825 0.517
0.421 0.175 0.483
0.921 0.483 0.175
0.579 0.517 0.825
0.500 0.500 0.500
0.894 0.606 0.606
0.106 0.394 0.394
0.000 0.000 0.000
```

=====

Entry 5:
DFT (PBE-GGA) results for a geometry-optimized DyRhO3 structure.

Values from the calculation:
* ρ: 8.52 Mg/m³
* E_form (uncorrected): -1.597 eV per atom
* DOS(E_F): 1.70 states/eV per cell

Structure (POSCAR):
```
DyRhO3
1.0
3.938 0.000 0.000
0.000 3.938 0.000
0.000 0.000 3.938
O Rh Dy
3 1 1
Direct
0.500 0.000 0.500
0.500 0.500 0.000
0.000 0.500 0.500
0.500 0.500 0.500
0.000 0.000 0.000
```

=====

Entry 6:
DFT (PBE-GGA) results for a geometry-optimized HfZr2Ta structure.

Values from the calculation:
* ρ: 10.46 Mg/m³
* ΔE to the lowest computed polymorph: 0.0 meV/atom
* formation enthalpy at 0 K: 0.5 eV per formula unit
* DOS(E_F): 6.17 states/eV per cell

Structure (POSCAR):
```
HfZr2Ta
1.0
-3.409 0.093 0.528
-0.337 -3.017 -1.641
0.874 -3.503 6.261
Zr Ta Hf
2 1 1
Direct
0.000 0.000 0.772
0.000 0.000 0.228
0.500 0.500 0.000
0.500 0.500 0.500
```